DFT (PBE-GGA) results for crystalline CaGe4Ru4 at its relaxed geometry.

Unit cell a=6.1923 b=6.1923 c=8.1102 alpha=90.00 beta=90.00 gamma=90.00
Atoms (fractional coordinates):
Ca: 0.2500 0.7500 0.2500
Ca: 0.7500 0.2500 0.7500
Ge: 0.0465 0.2500 0.0752
Ge: 0.2500 0.0465 0.5752
Ge: 0.2500 0.4535 0.5752
Ge: 0.4535 0.2500 0.0752
Ge: 0.5465 0.7500 0.9248
Ge: 0.7500 0.5465 0.4248
Ge: 0.7500 0.9535 0.4248
Ge: 0.9535 0.7500 0.9248
Ru: 0.0022 0.2500 0.3787
Ru: 0.2500 0.0022 0.8787
Ru: 0.2500 0.4978 0.8787
Ru: 0.4978 0.2500 0.3787
Ru: 0.5022 0.7500 0.6213
Ru: 0.7500 0.5022 0.1213
Ru: 0.7500 0.9978 0.1213
Ru: 0.9978 0.7500 0.6213

- E_form: -278 meV per atom
- Volume: 311.0 Å³/cell